The following is a PBE calculation of a geometry-optimized LiFeCoCu structure, from Alexandria via LeMat-Bulk.

Lattice parameters (Å, degrees): 4.036 4.036 4.036 60.00 60.00 60.00
Element x y z (fractional)
Co (0.750, 0.750, 0.750)
Cu (0.250, 0.250, 0.250)
Fe (0.500, 0.500, 0.500)
Li (0.000, 0.000, 0.000)

Output
**Magnetization**: 1.07 μB/atom
**Final energy**: -5.25 eV per atom
**DFT formation energy**: 142.6 meV/atom